Crystalline Tb8Dy4Zr at its relaxed geometry. Source: Alexandria, functional PBE-GGA.

abc: 7.6676 7.6676 7.6676
angles: 90.22 90.22 90.22
Last column: nearest neighbours and their distance in Å.
Fractional coordinates of all 13 atoms:
Tb  0.2444  0.2444  0.2444  4 Dy 3.23-3.35, 1 Zr 3.38
Tb  0.2442  0.2442  0.7536  4 Dy 3.26-3.34, 1 Zr 3.39
Tb  0.2442  0.7536  0.2442  4 Dy 3.26-3.34, 1 Zr 3.39
Tb  0.2464  0.7558  0.7558  4 Dy 3.26-3.34, 1 Zr 3.39
Tb  0.7536  0.2442  0.2441  4 Dy 3.26-3.34, 1 Zr 3.39
Tb  0.7558  0.2464  0.7558  4 Dy 3.26-3.34, 1 Zr 3.39
Tb  0.7558  0.7559  0.2464  4 Dy 3.26-3.34, 1 Zr 3.39
Tb  0.7556  0.7556  0.7556  4 Dy 3.23-3.35, 1 Zr 3.38
Dy  0.0000  0.0000  0.0000  8 Tb 3.23-3.26
Dy  0.0000  0.5000  0.5000  8 Tb 3.34-3.35
Dy  0.5000  0.0000  0.5000  8 Tb 3.34-3.35
Dy  0.5000  0.5000  0.0000  8 Tb 3.34-3.35
Zr  0.5000  0.5000  0.5000  8 Tb 3.38-3.39

Calculated values
Its total energy is -4.395 eV per atom. Its space group is R-3m, No. 166. The value obtained for the density of states at the Fermi level is 22.65 states/eV/cell.


Crystalline LaSmAgHg at its relaxed geometry. Source: Alexandria, functional PBE-GGA.

abc: 3.7951 3.7951 7.6863
angles: 90.00 90.00 90.00
Last column: nearest neighbours and their distance in Å.
Fractional coordinates of all 4 atoms:
La  0.0000  0.0000  0.0000  4 Ag 3.36, 4 Hg 3.39, 1 Sm 3.76
Sm  0.0000  0.0000  0.4886  4 Ag 3.19, 4 Hg 3.27
Ag  0.5000  0.5000  0.2641  4 Sm 3.19, 4 La 3.36
Hg  0.5000  0.5000  0.7314  4 Sm 3.27, 4 La 3.39, 1 Ag 3.59

Calculated values
Its total energy is -3.576 eV per atom. Its space group is P4mm, No. 99. The value obtained for the density of states at the Fermi level is 3.94 states/eV/cell.


Crystalline RbLa2Mg at its relaxed geometry. Source: Alexandria, functional PBE-GGA.

abc: 13.5030 13.5030 13.5030
angles: 15.94 15.94 15.94
Last column: nearest neighbours and their distance in Å.
Fractional coordinates of all 4 atoms:
Rb  0.0000  0.0000  0.0000  6 Rb 3.74, 2 La 4.02
La  0.1006  0.1006  0.1006  3 Mg 3.41, 6 La 3.74
La  0.8994  0.8994  0.8994  3 Mg 3.41, 6 La 3.74
Mg  0.5000  0.5000  0.5000  6 La 3.41, 6 Mg 3.74

Calculated values
Its total energy is -2.852 eV per atom. Its space group is R-3m, No. 166. The value obtained for the density of states at the Fermi level is 5.18 states/eV/cell.


Summary of ΔH_f (0 K) in eV per atom
0.528; -0.376; 0.253
(order as listed above)
Summary of total moment in Bohr magnetons per cell
0.01; 0.29; 0.00
(order as listed above)